## a
Compound: La2Br
Source: Alexandria via LeMat-Bulk
Functional: PBE
Structure: optimized geometry

Geometry as POSCAR:
```
La2Br
1.0
-0.757 -0.882 -3.663
2.564 -5.923 0.897
-13.091 -5.073 3.928
Br La
4 8
Direct
0.250 0.750 0.384 Br
0.750 0.750 0.883 Br
0.250 0.250 0.117 Br
0.750 0.250 0.616 Br
0.250 0.000 0.750 La
0.750 0.500 0.250 La
0.250 0.500 0.750 La
0.750 0.000 0.250 La
0.250 0.250 0.443 La
0.750 0.250 0.943 La
0.250 0.750 0.057 La
0.750 0.750 0.557 La
```

Output
crystal system = orthorhombic
DOS(E_F) = 9.3 states/eV per cell



## b
Compound: La2Br
Source: Alexandria via LeMat-Bulk
Functional: PBE
Structure: optimized geometry

Geometry as POSCAR:
```
La2Br
1.0
1.822 5.823 0.028
-1.822 5.823 0.028
0.000 0.744 9.074
La Br
4 2
Direct
0.366 0.366 0.577 La
0.623 0.623 0.831 La
0.377 0.377 0.169 La
0.634 0.634 0.423 La
0.111 0.111 0.126 Br
0.889 0.889 0.874 Br
```

Output
crystal system = monoclinic
DOS(E_F) = 6.8 states/eV per cell



## c
Compound: La2Br
Source: Alexandria via LeMat-Bulk
Functional: PBE
Structure: optimized geometry

Geometry as POSCAR:
```
La2Br
1.0
2.678 -9.912 0.000
2.678 9.912 0.000
0.000 0.000 3.605
La Br
4 2
Direct
0.413 0.587 0.750 La
0.587 0.413 0.250 La
0.778 0.222 0.750 La
0.222 0.778 0.250 La
0.082 0.918 0.750 Br
0.918 0.082 0.250 Br
```

Output
crystal system = orthorhombic
DOS(E_F) = 6.1 states/eV per cell



If you had to bet on the most stable structure above, which would it be? Bet on a.